# 1
Here is SrCa2ScAu after structural relaxation from the Alexandria database. Energies are from PBE-GGA.

Results
SG: P4/mmm
density of states at the Fermi level: 1.005 states/eV per atom
ΔH_f (0 K): -98 kJ/mol of formula units
volume: 36.47 Å³/atom
E: -16.31 eV/cell

Unit cell a=5.844 b=5.844 c=5.340 alpha=90.00 beta=90.00 gamma=90.00
Sites, in units of the cell vectors:
Sr1 0.000 0.000 0.000
Ca1 0.000 0.500 0.500
Ca2 0.500 0.000 0.500
Sc1 0.500 0.500 0.000
Au1 0.500 0.500 0.500

***

# 2
Here is CaScTlAu after structural relaxation from the Alexandria database. Energies are from PBE-GGA.

Results
SG: F-43m
density of states at the Fermi level: 0.867 states/eV per atom
ΔH_f (0 K): -192 kJ/mol of formula units
volume: 23.69 Å³/atom
E: -15.96 eV/cell

Unit cell a=5.118 b=5.118 c=5.118 alpha=60.00 beta=60.00 gamma=60.00
Sites, in units of the cell vectors:
Ca1 0.000 0.000 0.000
Sc1 0.500 0.500 0.500
Tl1 0.750 0.750 0.750
Au1 0.250 0.250 0.250

***

# 3
Here is CaTm2ScAu4 after structural relaxation from the Alexandria database. Energies are from PBE-GGA.

Results
SG: R-3m
density of states at the Fermi level: 0.505 states/eV per atom
ΔH_f (0 K): -643 kJ/mol of formula units
volume: 22.06 Å³/atom
E: -37.05 eV/cell

Unit cell a=8.759 b=8.759 c=8.759 alpha=32.90 beta=32.90 gamma=32.90
Sites, in units of the cell vectors:
Ca1 0.000 0.000 0.000
Tm1 0.250 0.250 0.250
Tm2 0.750 0.750 0.750
Sc1 0.500 0.500 0.500
Au1 0.131 0.131 0.131
Au2 0.383 0.383 0.383
Au3 0.617 0.617 0.617
Au4 0.869 0.869 0.869

***

# 4
Here is CaYScAu2 after structural relaxation from the Alexandria database. Energies are from PBE-GGA.

Results
SG: P4/mmm
density of states at the Fermi level: 1.383 states/eV per atom
ΔH_f (0 K): 268 kJ/mol of formula units
volume: 31.25 Å³/atom
E: -18.58 eV/cell

Unit cell a=5.288 b=5.288 c=5.589 alpha=90.00 beta=90.00 gamma=90.00
Sites, in units of the cell vectors:
Ca1 0.000 0.000 0.000
Y1 0.000 0.000 0.500
Sc1 0.500 0.500 0.000
Au1 0.000 0.500 0.500
Au2 0.500 0.000 0.500

***

# 5
Here is Ca2ScZnAu6 after structural relaxation from the Alexandria database. Energies are from PBE-GGA.

Results
SG: Fm-3m
density of states at the Fermi level: 0.405 states/eV per atom
ΔH_f (0 K): -232 kJ/mol of formula units
volume: 26.02 Å³/atom
E: -33.68 eV/cell

Unit cell a=7.166 b=7.166 c=7.166 alpha=60.00 beta=60.00 gamma=60.00
Sites, in units of the cell vectors:
Ca1 0.250 0.250 0.250
Ca2 0.750 0.750 0.750
Sc1 0.000 0.000 0.000
Zn1 0.500 0.500 0.500
Au1 0.257 0.257 0.743
Au2 0.257 0.743 0.257
Au3 0.257 0.743 0.743
Au4 0.743 0.257 0.257
Au5 0.743 0.257 0.743
Au6 0.743 0.743 0.257

***

# 6
Here is CaScZn2Au4 after structural relaxation from the Alexandria database. Energies are from PBE-GGA.

Results
SG: R-3m
density of states at the Fermi level: 0.474 states/eV per atom
ΔH_f (0 K): -428 kJ/mol of formula units
volume: 19.33 Å³/atom
E: -28.43 eV/cell

Unit cell a=8.749 b=8.749 c=8.749 alpha=30.68 beta=30.68 gamma=30.68
Sites, in units of the cell vectors:
Ca1 0.000 0.000 0.000
Sc1 0.500 0.500 0.500
Zn1 0.244 0.244 0.244
Zn2 0.756 0.756 0.756
Au1 0.125 0.125 0.125
Au2 0.389 0.389 0.389
Au3 0.611 0.611 0.611
Au4 0.875 0.875 0.875

***

# 7
Here is CaScZnAu after structural relaxation from the Alexandria database. Energies are from PBE-GGA.

Results
SG: P4mm
density of states at the Fermi level: 0.952 states/eV per atom
ΔH_f (0 K): -209 kJ/mol of formula units
volume: 21.69 Å³/atom
E: -15.06 eV/cell

Unit cell a=3.508 b=3.508 c=7.049 alpha=90.00 beta=90.00 gamma=90.00
Sites, in units of the cell vectors:
Ca1 0.000 0.000 0.000
Sc1 0.000 0.000 0.501
Zn1 0.500 0.500 0.713
Au1 0.500 0.500 0.289

***

# 8
Here is CaScZnAu after structural relaxation from the Alexandria database. Energies are from PBE-GGA.

Results
SG: F-43m
density of states at the Fermi level: 0.586 states/eV per atom
ΔH_f (0 K): -187 kJ/mol of formula units
volume: 21.43 Å³/atom
E: -14.82 eV/cell

Unit cell a=4.950 b=4.950 c=4.950 alpha=60.00 beta=60.00 gamma=60.00
Sites, in units of the cell vectors:
Ca1 0.000 0.000 0.000
Sc1 0.500 0.500 0.500
Zn1 0.750 0.750 0.750
Au1 0.250 0.250 0.250

***

# 9
Here is Ca2Au2Se after structural relaxation from the Alexandria database. Energies are from PBE-GGA.

Results
SG: I4/mmm
formation energy from raw total energies: -685 meV per atom
density of states at the Fermi level: 0.000 states/eV per atom
volume: 28.16 Å³/atom
E: -17.47 eV/cell

Unit cell a=6.275 b=6.275 c=6.275 alpha=130.19 beta=130.19 gamma=73.10
Sites, in units of the cell vectors:
Ca1 0.250 0.750 0.500
Ca2 0.750 0.250 0.500
Au1 0.131 0.131 0.000
Au2 0.869 0.869 0.000
Se1 0.500 0.500 0.000

***

# 10
Here is Ca2AuSe2 after structural relaxation from the Alexandria database. Energies are from PBE-GGA.

Results
SG: P4/mbm
formation energy from raw total energies: -1243 meV per atom
density of states at the Fermi level: 0.331 states/eV per atom
volume: 24.38 Å³/atom
E: -40.93 eV/cell

Unit cell a=8.028 b=8.028 c=3.783 alpha=90.00 beta=90.00 gamma=90.00
Sites, in units of the cell vectors:
Ca1 0.156 0.344 0.000
Ca2 0.344 0.844 0.000
Ca3 0.656 0.156 0.000
Ca4 0.844 0.656 0.000
Au1 0.000 0.000 0.500
Au2 0.500 0.500 0.500
Se1 0.153 0.653 0.500
Se2 0.347 0.153 0.500
Se3 0.653 0.847 0.500
Se4 0.847 0.347 0.500

***

# 11
Here is Ca4AuSe after structural relaxation from the Alexandria database. Energies are from PBE-GGA.

Results
SG: F-43m
formation energy from raw total energies: 80 meV per atom
density of states at the Fermi level: 1.136 states/eV per atom
volume: 32.46 Å³/atom
E: -14.29 eV/cell

Unit cell a=6.507 b=6.507 c=6.507 alpha=60.00 beta=60.00 gamma=60.00
Sites, in units of the cell vectors:
Ca1 0.125 0.125 0.125
Ca2 0.125 0.125 0.626
Ca3 0.125 0.626 0.125
Ca4 0.626 0.125 0.125
Au1 0.500 0.500 0.500
Se1 0.750 0.750 0.750

***

# 12
Here is Ca2Au2Se after structural relaxation from the Alexandria database. Energies are from PBE-GGA.

Results
SG: P4/mbm
formation energy from raw total energies: -868 meV per atom
density of states at the Fermi level: 0.304 states/eV per atom
volume: 24.46 Å³/atom
E: -36.77 eV/cell

Unit cell a=7.898 b=7.898 c=3.922 alpha=90.00 beta=90.00 gamma=90.00
Sites, in units of the cell vectors:
Ca1 0.179 0.321 0.000
Ca2 0.321 0.821 0.000
Ca3 0.679 0.179 0.000
Ca4 0.821 0.679 0.000
Au1 0.123 0.623 0.500
Au2 0.377 0.123 0.500
Au3 0.623 0.877 0.500
Au4 0.877 0.377 0.500
Se1 0.000 0.000 0.500
Se2 0.500 0.500 0.500

***

# 13
Here is Ca2Au2Se after structural relaxation from the Alexandria database. Energies are from PBE-GGA.

Results
SG: P4/mbm
formation energy from raw total energies: -882 meV per atom
density of states at the Fermi level: 0.186 states/eV per atom
volume: 25.98 Å³/atom
E: -36.90 eV/cell

Unit cell a=7.929 b=7.929 c=4.133 alpha=90.00 beta=90.00 gamma=90.00
Sites, in units of the cell vectors:
Ca1 0.175 0.325 0.000
Ca2 0.325 0.825 0.000
Ca3 0.675 0.175 0.000
Ca4 0.825 0.675 0.000
Au1 0.126 0.626 0.500
Au2 0.374 0.126 0.500
Au3 0.626 0.874 0.500
Au4 0.874 0.374 0.500
Se1 0.000 0.000 0.000
Se2 0.500 0.500 0.000

***

# 14
Here is CaAu2Se2 after structural relaxation from the Alexandria database. Energies are from PBE-GGA.

Results
SG: I4/mmm
formation energy from raw total energies: -552 meV per atom
density of states at the Fermi level: 0.071 states/eV per atom
volume: 22.53 Å³/atom
E: -18.29 eV/cell

Unit cell a=7.723 b=7.723 c=7.723 alpha=150.33 beta=150.33 gamma=42.46
Sites, in units of the cell vectors:
Ca1 0.000 0.000 0.000
Au1 0.250 0.750 0.500
Au2 0.750 0.250 0.500
Se1 0.399 0.399 0.000
Se2 0.601 0.601 0.000